1.
## K2RbVS (PBE)

Data for K2RbVS after structural relaxation.

Unit cell a=6.116 b=6.441 c=6.116 alpha=90.00 beta=90.00 gamma=90.00
Fractional positions:
S1 0.000 0.000 0.000
K1 0.500 0.000 0.000
K2 0.000 0.000 0.500
V1 0.500 0.500 0.500
Rb1 0.000 0.500 0.000

## Properties
spin magnetization = 4.0 μB per formula unit
final energy = -3.044 eV per atom

---

2.
## K2RbV2S7 (PBE)

Data for K2RbV2S7 after structural relaxation.

Unit cell a=6.599 b=6.599 c=11.614 alpha=73.50 beta=73.50 gamma=60.00
Fractional positions:
Rb1 0.500 0.500 0.500
V1 0.932 0.932 0.203
S1 0.779 0.388 0.734
V2 0.068 0.068 0.797
S2 0.612 0.221 0.266
K1 0.689 0.689 0.932
K2 0.311 0.311 0.068
S3 0.000 0.000 0.000
S4 0.388 0.099 0.734
S5 0.099 0.779 0.734
S6 0.221 0.901 0.266
S7 0.901 0.612 0.266

## Properties
spin magnetization = 1.1 μB per formula unit
final energy = -5.015 eV per atom

---

3.
## KRb2VS4 (PBE)

Data for KRb2VS4 after structural relaxation.

Unit cell a=7.018 b=7.353 c=10.110 alpha=90.00 beta=90.00 gamma=90.00
Fractional positions:
S1 0.255 0.984 0.500
S2 0.246 0.019 0.000
Rb1 0.001 0.806 0.748
V1 0.000 0.196 0.000
Rb2 0.501 0.194 0.248
K1 0.000 0.336 0.500
V2 0.500 0.804 0.500
Rb3 0.001 0.806 0.252
S3 0.498 0.641 0.322
S4 0.746 0.981 0.500
S5 0.498 0.641 0.678
S6 0.755 0.016 0.000
Rb4 0.501 0.194 0.752
S7 0.998 0.359 0.822
S8 0.998 0.359 0.178
K2 0.500 0.664 0.000

## Properties
spin magnetization = 0.0 μB per formula unit
final energy = -4.727 eV per atom

---

4.
## KRbVS4 (PBE)

Data for KRbVS4 after structural relaxation.

Unit cell a=7.237 b=5.438 c=11.759 alpha=90.00 beta=96.63 gamma=90.00
Fractional positions:
S1 0.978 0.028 0.215
S2 0.578 0.250 0.831
S3 0.022 0.528 0.785
S4 0.022 0.972 0.785
S5 0.272 0.750 0.448
S6 0.422 0.750 0.169
S7 0.978 0.472 0.215
Rb1 0.743 0.750 0.979
V1 0.809 0.250 0.731
Rb2 0.257 0.250 0.021
K1 0.276 0.250 0.597
K2 0.724 0.750 0.403
S8 0.728 0.250 0.552
V2 0.191 0.750 0.269

## Properties
spin magnetization = 0.0 μB per formula unit
final energy = -4.902 eV per atom

---

5.
## K2RbWS4 (PBE)

Data for K2RbWS4 after structural relaxation.

Unit cell a=7.092 b=7.092 c=7.092 alpha=110.30 beta=109.06 gamma=109.06
Fractional positions:
W1 0.000 0.500 0.500
K1 0.000 0.000 0.000
K2 0.500 0.750 0.250
S1 0.682 0.507 0.492
Rb1 0.500 0.250 0.750
S2 0.318 0.810 0.825
S3 0.014 0.508 0.190
S4 0.986 0.175 0.493

## Properties
spin magnetization = 1.0 μB per formula unit
final energy = -4.992 eV per atom

---

6.
## KRb3W2S8 (PBE)

Data for KRb3W2S8 after structural relaxation.

Unit cell a=7.516 b=7.516 c=9.919 alpha=90.00 beta=90.00 gamma=120.00
Fractional positions:
K1 0.000 0.000 0.500
S1 0.173 0.827 0.290
W1 0.667 0.333 0.786
S2 0.667 0.333 0.005
S3 0.333 0.667 0.995
S4 0.347 0.173 0.710
Rb1 0.000 0.000 0.000
S5 0.827 0.173 0.710
S6 0.653 0.827 0.290
Rb2 0.667 0.333 0.341
W2 0.333 0.667 0.214
Rb3 0.333 0.667 0.659
S7 0.827 0.653 0.710
S8 0.173 0.347 0.290

## Properties
spin magnetization = 0.0 μB per formula unit
final energy = -5.448 eV per atom